# ZrSb2Ru | Alexandria | PBE | optimized geometry
# **E_tot**: -6.58 eV/atom
# **Density of states at the Fermi level**: 3.44 states/eV/f.u.
# **Mass density**: 8.1 g cm⁻³
# **Formation energy (no corrections)**: -65 meV per atom
# **Calculated volume**: 268.8 Å³/cell
data_ZrSb2Ru
_chemical_formula_sum 'Zr3 Sb6 Ru3'
_cell_length_a 3.3843
_cell_length_b 3.3843
_cell_length_c 27.1045
_cell_angle_alpha 90.00
_cell_angle_beta 90.00
_cell_angle_gamma 120.00
_space_group_name_H-M_alt 'R 3 m'
_space_group_IT_number 160
_space_group_name_Hall 'R 3 -2"'
loop_
_atom_site_label
_atom_site_type_symbol
_atom_site_fract_x
_atom_site_fract_y
_atom_site_fract_z
_atom_site_occupancy
Zr1 Zr 0.0000 0.0000 0.0000 1
Sb1 Sb 0.0000 0.0000 0.5249 1
Sb2 Sb 0.0000 0.0000 0.7527 1
Ru1 Ru 0.0000 0.0000 0.2602 1